Mo3W | Alexandria | meta-GGA SCAN | PBEsol geometry; energy above the lowest structure with this stoichiometry = 0.005 eV/atom; density = 12.74 Mg/m³; DFT formation energy = -0.001 eV per atom
1.0
2.7145 -0.0043 0.0000
-0.9077 2.5583 0.0000
0.0000 0.0000 8.8565
Mo W
3 1
direct
0.0000 0.0000 0.2491
0.5000 0.5000 0.0000
0.0000 0.0000 0.7510
0.5000 0.5000 0.5000

=====

NdInNi2 | Alexandria | meta-GGA SCAN | PBEsol geometry; density = 8.66 Mg/m³; DFT formation energy = -0.438 eV per atom
1.0
-1.3746 -3.0109 2.2395
4.0790 -2.8157 -1.2819
3.5065 2.5432 5.5716
Ni In Nd
4 2 2
direct
0.5000 0.5000 0.0000
0.5000 0.0000 0.0000
0.0000 0.7500 0.8938
0.0000 0.2500 0.1062
0.5000 0.2500 0.3444
0.5000 0.7500 0.6556
0.0000 0.7500 0.2741
0.0000 0.2500 0.7259

=====

BeZnBr2 | Alexandria | meta-GGA SCAN | PBEsol geometry; energy above the lowest structure with this stoichiometry = 0.828 eV/atom; density = 5.16 Mg/m³; E_form (uncorrected) = 0.4579 eV per atom
1.0
-3.0358 3.4642 -1.1271
-2.3759 -0.1705 -4.1004
-4.6663 -0.8446 -0.0031
Br Be Zn
2 1 1
direct
0.2500 0.2500 0.2500
0.7500 0.7500 0.7500
0.5000 0.5000 0.5000
0.0000 0.0000 0.0000

=====

Be4SiSe | Alexandria | meta-GGA SCAN | PBEsol geometry; density = 3.54 Mg/m³; E_form (uncorrected) = 0.5147 eV per atom
1.0
4.5610 0.0000 0.0000
2.2805 3.9500 0.0000
2.2805 1.3167 3.7241
Be Se Si
4 1 1
direct
0.3732 0.8804 0.3732
0.3732 0.3732 0.3732
0.3732 0.3732 0.8804
0.8804 0.3732 0.3732
0.7500 0.7500 0.7500
0.0000 0.0000 0.0000

=====

BaAl2Ir | Alexandria | meta-GGA SCAN | PBEsol geometry; density = 7.77 Mg/m³; DFT formation energy = 0.274 eV per atom
1.0
3.1413 0.0000 0.0000
1.5707 2.7205 0.0000
1.5707 0.9068 9.5937
Ba Al Ir
1 2 1
direct
0.5061 0.5061 0.4818
0.7351 0.7351 0.7948
0.9925 0.9925 0.0224
0.2663 0.2663 0.2010

=====

Li2Pb | Alexandria | meta-GGA SCAN | PBEsol geometry; density = 6.22 Mg/m³; DFT formation energy = -0.402 eV per atom
1.0
-1.5249 -4.0197 1.1629
5.1951 0.5056 0.0314
-2.1027 2.2736 5.1019
Li Pb
4 2
direct
0.3364 0.6728 0.1897
0.0000 0.0000 0.5000
0.6636 0.3272 0.8103
0.0000 0.0000 0.0000
0.6645 0.3291 0.3076
0.3355 0.6709 0.6924

=====

K2AsCl | Alexandria | meta-GGA SCAN | PBEsol geometry; density = 2.59 Mg/m³; E_form (uncorrected) = -0.8381 eV per atom
1.0
-1.4274 1.6043 -4.9077
0.3895 -5.5609 0.9925
-4.1591 2.6600 2.0792
K Cl As
2 1 1
direct
0.2500 0.5000 0.7500
0.7500 0.5000 0.2500
0.0000 0.0000 0.0000
0.5000 0.0000 0.5000

=====

LiCdPt2 | Alexandria | meta-GGA SCAN | PBEsol geometry; density = 13.78 Mg/m³; DFT formation energy = -0.396 eV per atom
1.0
-2.5973 2.1700 2.1598
-3.0338 -1.4432 -2.1983
2.4250 -3.2601 2.4599
Li Pt Cd
1 2 1
direct
0.2500 0.7500 0.5000
0.7500 0.2500 0.5000
0.0000 0.0000 0.0000
0.5000 0.5000 0.0000

=====

MgFe2As | Alexandria | meta-GGA SCAN | PBEsol geometry; density = 6.67 Mg/m³; DFT formation energy = 0.046 eV per atom
1.0
3.7072 0.0000 0.0000
0.0000 3.7072 0.0000
-1.8536 -1.8536 3.8188
Fe As Mg
2 1 1
direct
0.0000 0.0000 0.0000
0.7500 0.2500 0.5000
0.2500 0.7500 0.5000
0.5000 0.5000 0.0000

=====

Mg2H2Se | Alexandria | meta-GGA SCAN | PBEsol geometry; density = 3.42 Mg/m³; electronic total energy = -7.96 eV/atom
1.0
-0.6190 -1.7539 -2.8765
2.9717 -1.6621 0.3739
-3.6591 -2.0898 4.1012
Mg H Se
2 2 1
direct
0.3520 0.3520 0.7040
0.6480 0.6480 0.2960
0.7500 0.2500 0.5000
0.2500 0.7500 0.5000
0.0000 0.0000 0.0000

=====

FeBBr2 | Alexandria | meta-GGA SCAN | PBEsol geometry; density = 4.07 Mg/m³; E_form (uncorrected) = 0.9359 eV per atom
1.0
-1.2293 -4.0616 -4.2892
6.3916 1.3190 1.1629
3.1539 -4.1557 3.0312
Br Fe B
4 2 2
direct
0.3750 0.2500 0.0971
0.0971 0.7500 0.8750
0.8750 0.2500 0.6529
0.6529 0.7500 0.3750
0.7500 0.5000 0.7500
0.0000 0.0000 0.0000
0.5000 0.0000 0.5000
0.2500 0.5000 0.2500

=====

Na2YTiMo | Alexandria | meta-GGA SCAN | PBEsol geometry; density = 3.75 Mg/m³; DFT formation energy = 1.065 eV per atom
1.0
-1.8119 4.1052 0.5845
-1.7919 -0.0930 -4.9019
-4.4350 -2.1942 1.6629
Mo Na Ti Y
1 2 1 1
direct
0.5000 0.0000 0.0000
0.0000 0.0000 0.5000
0.0000 0.5000 0.0000
0.0000 0.0000 0.0000
0.5000 0.5000 0.5000